VASP calculation (PBE+U) on an optimized crystal structure of Mn2VMo2O6.

```
Mn2VMo2O6
1.0
2.768 -4.852 0.000
2.768 4.852 0.000
-1.741 0.000 5.158
Mn V Mo O
2 1 2 6
Cartesian
2.768 3.264 0.000 Mn
2.768 -3.264 0.000 Mn
-0.871 0.000 2.579 V
1.897 1.560 2.579 Mo
1.897 -1.560 2.579 Mo
0.023 1.744 3.766 O
0.876 0.000 1.376 O
0.023 -1.744 3.766 O
3.771 1.744 1.393 O
2.918 0.000 3.782 O
3.771 -1.744 1.393 O
```

Total DFT energy (no corrections) = -7.5746 eV/atom